Compound: NaClF2
Source: the Alexandria database
Functional: PBE
Structure: optimized geometry

Unit cell a=6.158 b=6.158 c=6.158 alpha=90.00 beta=90.00 gamma=90.00
Space group Fm-3m (No. 225)
Unique sites:
Na: 0.000 0.000 0.000 (multiplicity 4)
Cl: 0.000 0.000 0.500 (multiplicity 4)
F: 0.250 0.250 0.250 (multiplicity 8)

Summary:
* V: 234 Å³ per cell
* polymorph energy (0 for the lowest one): 607 meV per atom
* VASP energy: -2.74 eV per atom
* formation energy from raw total energies: -97.9 kJ per mole of atoms



Compound: BaSbAsPd3
Source: the Alexandria database
Functional: PBE
Structure: optimized geometry

Unit cell a=6.924 b=13.648 c=6.500 alpha=90.00 beta=90.00 gamma=90.00
Space group Cmcm (No. 63)
Unique sites:
Ba: 0.000 0.245 0.250 (multiplicity 4)
Sb: 0.000 0.448 0.750 (multiplicity 4)
As: 0.000 0.088 0.750 (multiplicity 4)
Pd: 0.000 0.261 0.750 (multiplicity 4)
Pd: 0.208 0.000 0.000 (multiplicity 8)

Summary:
* V: 614 Å³ per cell
* VASP energy: -4.97 eV per atom
* formation energy from raw total energies: -56.6 kJ per mole of atoms



Compound: YFeRe2
Source: the Alexandria database
Functional: PBE
Structure: optimized geometry

Unit cell a=3.800 b=3.800 c=9.478 alpha=90.00 beta=90.00 gamma=90.00
Space group I4/mmm (No. 139)
Unique sites:
Y: 0.000 0.000 0.000 (multiplicity 2)
Fe: 0.000 0.000 0.500 (multiplicity 2)
Re: 0.000 0.500 0.250 (multiplicity 4)

Summary:
* E_form: 2.21 eV per formula unit
* V: 137 Å³ per cell
* polymorph energy (0 for the lowest one): 375 meV per atom
* VASP energy: -9.40 eV per atom



- The lowest V belongs to which entry?
  YFeRe2



- Which of these has the highest VASP energy?
  NaClF2



- Among the records above, which one has the highest VASP energy?
  NaClF2



- Which value of V does entry 2 give?
  614 Å³ per cell